This record from Alexandria via LeMat-Bulk describes Cs2K4TlAs2 after structural relaxation. The functional is PBE.

It has space group Immm (No. 71), with a = 5.4667 Å, b = 9.4440 Å, c = 15.5659 Å, α = 90.00°, β = 90.00° and γ = 90.00°. The inequivalent atoms are Cs at (0.0000, 0.0000, 0.1328), K at (0.0000, 0.1944, 0.3497), Tl at (0.0000, 0.5000, 0.0000) and As at (0.0000, 0.5000, 0.2120).

For the energy of formation from the pure elements, the calculation gives -164 kJ/mol of formula units. The density of states at the Fermi level is 14.77 states/eV per cell.